Compound: MgBSbRh2
Source: the Alexandria database
Functional: PBEsol
Structure: relaxed

```
data_MgBSbRh2
_cell_length_a 4.513
_cell_length_b 4.513
_cell_length_c 4.887
_cell_angle_alpha 90.00
_cell_angle_beta 90.00
_cell_angle_gamma 90.00
_symmetry_space_group_name_H-M 'P 1'
_symmetry_Int_Tables_number 1
loop_
_symmetry_equiv_pos_as_xyz
'x,y,z'
loop_
_atom_site_label
_atom_site_type_symbol
_atom_site_fract_x
_atom_site_fract_y
_atom_site_fract_z
B1 B 0.500 0.500 0.500
Mg1 Mg 0.000 0.000 0.000
Rh1 Rh 0.000 0.500 0.000
Rh2 Rh 0.500 0.000 0.000
Sb1 Sb 0.000 0.000 0.500
```

Calculated volume: 100 Å³/cell
Raw formation energy: 1.9705 eV per atom
Electronic total energy: -19.7 eV/cell